A plane-wave DFT calculation with GGA-PBE was carried out for a relaxed BaZrCd crystal.

* excess energy over the best structure of this formula in the dataset: 61.7 meV/atom
* E_form: 0.45 eV/f.u.
* total moment: 0.00 μB/f.u.

```
BaZrCd
1.0
12.023 0.000 0.000
0.000 3.558 0.000
-0.407 0.000 9.068
Ba Zr Cd
4 4 4
direct
0.000 0.000 0.000
0.240 0.000 0.702
0.500 0.500 0.000
0.740 0.500 0.702
0.111 0.500 0.357
0.325 0.000 0.317
0.611 0.000 0.357
0.825 0.500 0.317
0.233 0.500 0.066
0.463 0.500 0.544
0.733 0.000 0.066
0.963 0.000 0.544
```